Record 1
Computed, not measured: Na3Ac2ErTe6 after structural relaxation at the PBE level of DFT.

Cell: 4.6495 9.3159 10.3797 Å, 102.71 102.94 90.00°
Closest atoms and distances in Å follow each position.
Fractional coordinates of all 12 atoms:
Te 0.6579 0.0725 0.3158  1 Er 3.11, 3 Na 3.26-3.45, 2 Ac 3.30
Te 0.0027 0.7748 0.0054  2 Er 3.14, 3 Na 3.25-3.45, 1 Ac 3.29
Te 0.6662 0.5840 0.3323  3 Na 3.27-3.28, 3 Ac 3.33-3.35
Te 0.3421 0.9275 0.6842  1 Er 3.11, 3 Na 3.26-3.45, 2 Ac 3.30
Te 0.3338 0.4160 0.6677  3 Na 3.27-3.28, 3 Ac 3.33-3.35
Te 0.9973 0.2252 0.9946  2 Er 3.14, 3 Na 3.25-3.45, 1 Ac 3.29
Na 0.5000 0.5000 0.0000  6 Te 3.27-3.45
Na 0.8326 0.1671 0.6652  6 Te 3.25-3.45
Na 0.1674 0.8329 0.3348  6 Te 3.25-3.45
Ac 0.1639 0.3272 0.3277  6 Te 3.29-3.35
Ac 0.8361 0.6728 0.6723  6 Te 3.29-3.35
Er 0.5000 0.0000 0.0000  6 Te 3.11-3.14

E_form (uncorrected) = -1.3505 eV per atom

=====

Record 2
Computed, not measured: NaAcEr2Te4 after structural relaxation at the PBE level of DFT.

Cell: 4.4171 7.7128 7.9418 Å, 108.48 90.00 90.00°
Closest atoms and distances in Å follow each position.
Fractional coordinates of all 8 atoms:
Er 0.0000 0.5000 0.5000  6 Te 3.06
Er 0.5000 0.0000 0.5000  6 Te 3.11-3.13
Te 0.0000 0.2486 0.7302  3 Er 3.06-3.11, 2 Na 3.26, 1 Ac 3.30
Te 0.5000 0.2652 0.2723  3 Er 3.06-3.13, 1 Na 3.23, 2 Ac 3.31
Te 0.0000 0.7514 0.2698  3 Er 3.06-3.11, 2 Na 3.26, 1 Ac 3.30
Te 0.5000 0.7348 0.7277  3 Er 3.06-3.13, 1 Na 3.23, 2 Ac 3.31
Na 0.5000 0.5000 0.0000  6 Te 3.23-3.26
Ac 0.0000 0.0000 0.0000  6 Te 3.30-3.31

E_form (uncorrected) = -1.3253 eV per atom

=====

Record 3
Computed, not measured: NaAcEr2Tl4 after structural relaxation at the PBE level of DFT.

Cell: 5.4040 5.4040 9.7659 Å, 73.94 73.94 60.00°
Closest atoms and distances in Å follow each position.
Fractional coordinates of all 8 atoms:
Tl 0.6180 0.6180 0.1461  1 Na 3.27, 3 Er 3.32, 3 Ac 3.40
Tl 0.3820 0.3820 0.8539  1 Na 3.27, 3 Er 3.32, 3 Ac 3.40
Tl 0.8711 0.8711 0.3868  4 Er 3.20-3.31, 3 Na 3.29, 1 Ac 3.58
Tl 0.1289 0.1289 0.6132  4 Er 3.20-3.31, 3 Na 3.29, 1 Ac 3.58
Er 0.2441 0.2441 0.2678  7 Tl 3.20-3.32
Er 0.7559 0.7559 0.7322  7 Tl 3.20-3.32
Na 0.5000 0.5000 0.5000  8 Tl 3.27-3.29
Ac 0.0000 0.0000 0.0000  8 Tl 3.40-3.58

energy of formation from the pure elements = -253 meV/atom

=====

no.,VASP energy (eV per cell),total magnetization (Bohr magnetons per cell),D(E_F) (states/eV/atom)
1,-51.8,0.00,0.000
2,-37.7,0.00,0.351
3,-26.0,0.00,0.611